Record 1
Here is a relaxed structure of ErHf2Ti from Alexandria. Energies are from PBE-GGA.

Cell lengths 3.172, 3.172, 10.560 Å; angles 81.36, 81.36, 60.00 degrees
Atoms (fractional coordinates):
Ti  0.000  0.000  0.000
Hf  0.257  0.257  0.229
Hf  0.743  0.743  0.771
Er  0.500  0.500  0.500

The offset from the most stable computed form is 19 meV/atom. For the density of states at the Fermi level, the calculation gives 6.1 states/eV/cell. The value obtained for the magnetic moment is 0.00 μB per atom. The value obtained for the formation energy is 0.18 eV/atom.

Record 2
Here is a relaxed structure of Pr6Dy2ErTm from Alexandria. Energies are from PBE-GGA.

Cell lengths 9.665, 9.007, 9.007 Å; angles 117.79, 93.86, 93.86 degrees
Atoms (fractional coordinates):
Pr  0.054  0.117  0.765
Pr  0.446  0.235  0.883
Pr  0.946  0.883  0.235
Pr  0.554  0.765  0.117
Pr  0.310  0.994  0.435
Pr  0.190  0.565  0.006
Pr  0.690  0.006  0.565
Pr  0.810  0.435  0.994
Pr  0.117  0.708  0.490
Pr  0.383  0.510  0.292
Pr  0.883  0.292  0.510
Pr  0.617  0.490  0.708
Dy  0.454  0.799  0.703
Dy  0.046  0.297  0.201
Dy  0.546  0.201  0.297
Dy  0.954  0.703  0.799
Er  0.250  0.973  0.027
Er  0.750  0.027  0.973
Tm  0.250  0.413  0.587
Tm  0.750  0.587  0.413

For the density of states at the Fermi level, the calculation gives 28.7 states/eV/cell. The value obtained for the magnetic moment is 0.00 μB per atom. The value obtained for the formation energy is 0.12 eV/atom.

Record 3
Here is a relaxed structure of TlAgSeO4 from Alexandria. Energies are from PBE-GGA.

Cell lengths 6.329, 6.329, 5.865 Å; angles 122.66, 122.66, 90.00 degrees
Atoms (fractional coordinates):
Tl  0.000  0.000  0.000
Ag  0.500  0.500  0.000
Se  0.250  0.750  0.500
O  0.247  0.055  0.749
O  0.306  0.753  0.251
O  0.502  0.694  0.749
O  0.945  0.498  0.251

For the density of states at the Fermi level, the calculation gives 0.0 states/eV/cell. The value obtained for the magnetic moment is 0.00 μB per atom. As for the formation energy from raw total energies: -620 meV per atom.

What did the third record say?
Here is a relaxed structure of TlAgSeO4 from Alexandria. Energies are from PBE-GGA.

Cell lengths 6.329, 6.329, 5.865 Å; angles 122.66, 122.66, 90.00 degrees
Atoms (fractional coordinates):
Tl  0.000  0.000  0.000
Ag  0.500  0.500  0.000
Se  0.250  0.750  0.500
O  0.247  0.055  0.749
O  0.306  0.753  0.251
O  0.502  0.694  0.749
O  0.945  0.498  0.251

For the density of states at the Fermi level, the calculation gives 0.0 states/eV/cell. The value obtained for the magnetic moment is 0.00 μB per atom. As for the formation energy from raw total energies: -620 meV per atom.